(1)
Computed, not measured: a relaxed KMn3Cu4Cl12 crystal at the PBE-GGA level of DFT.

Unit cell a=13.4288 b=13.4288 c=9.5472 alpha=90.00 beta=90.00 gamma=120.00
Space group R32 (No. 155, hexagonal axes)
Symmetry-distinct sites (fractional):
K 0.0000 0.0000 0.0000 (multiplicity 3)
Mn 0.0000 0.5727 0.0000 (multiplicity 9)
Cu 0.0000 0.0000 0.5000 (multiplicity 3)
Cu 0.0000 0.4112 0.5000 (multiplicity 9)
Cl 0.0000 0.5869 0.5000 (multiplicity 9)
Cl 0.0000 0.8337 0.5000 (multiplicity 9)
Cl 0.0608 0.2178 0.1960 (multiplicity 18)

Fermi-level density of states (states/eV/cell): 20.7
E_tot (eV/atom): -4.240
E_form (uncorrected) (meV per atom): -882.7
Spin magnetization (μB per formula unit): 13.996

---

(2)
Computed, not measured: a relaxed Li12MgGa3 crystal at the PBE-GGA level of DFT.

Unit cell a=4.186 b=4.186 c=15.920 alpha=90.00 beta=90.00 gamma=90.00
Space group P4/mmm (No. 123)
Symmetry-distinct sites (fractional):
Li 0.000 0.000 0.000 (multiplicity 1)
Li 0.000 0.000 0.238 (multiplicity 2)
Li 0.000 0.000 0.500 (multiplicity 1)
Li 0.000 0.500 0.117 (multiplicity 4)
Li 0.000 0.500 0.358 (multiplicity 4)
Mg 0.500 0.500 0.500 (multiplicity 1)
Ga 0.500 0.500 0.000 (multiplicity 1)
Ga 0.500 0.500 0.232 (multiplicity 2)

Fermi-level density of states (states/eV/cell): 6.5
E_tot (eV/atom): -2.232
DFT formation energy (eV/atom): -0.130
Spin magnetization (μB per formula unit): 0.000

---

(3)
Computed, not measured: a relaxed PmErTmPu crystal at the PBE-GGA level of DFT.

Unit cell a=7.895 b=7.895 c=7.895 alpha=90.00 beta=90.00 gamma=90.00
Space group F-43m (No. 216)
Symmetry-distinct sites (fractional):
Pm 0.000 0.000 0.000 (multiplicity 4)
Er 0.000 0.000 0.500 (multiplicity 4)
Tm 0.250 0.250 0.250 (multiplicity 4)
Pu 0.250 0.250 0.750 (multiplicity 4)

Fermi-level density of states (states/eV/cell): 41.7
E_tot (eV/atom): -6.831
DFT formation energy (eV/atom): 0.198
Spin magnetization (μB per formula unit): 7.379

---

(4)
Computed, not measured: a relaxed La3Pm4Mg crystal at the PBE-GGA level of DFT.

Unit cell a=11.702 b=7.328 c=6.386 alpha=90.00 beta=90.00 gamma=90.00
Space group Pmn2_1 (No. 31)
Symmetry-distinct sites (fractional):
La 0.000 0.128 0.000 (multiplicity 2)
La 0.242 0.121 0.653 (multiplicity 4)
Pm 0.000 0.389 0.468 (multiplicity 2)
Pm 0.000 0.629 0.989 (multiplicity 2)
Pm 0.242 0.629 0.649 (multiplicity 4)
Mg 0.000 0.874 0.488 (multiplicity 2)

Fermi-level density of states (states/eV/cell): 22.5
E_tot (eV/atom): -4.416
Energy above the lowest structure with this stoichiometry (eV per atom): 0.000
DFT formation energy (eV/atom): 0.007
Spin magnetization (μB per formula unit): 0.000

---

(5)
Computed, not measured: a relaxed Li2BiSbTe4 crystal at the PBE-GGA level of DFT.

Unit cell a=7.511 b=4.380 c=7.579 alpha=90.00 beta=109.59 gamma=90.00
Space group P2/m (No. 10)
Symmetry-distinct sites (fractional):
Li 0.000 0.000 0.000 (multiplicity 1)
Li 0.000 0.500 0.500 (multiplicity 1)
Bi 0.500 0.000 0.500 (multiplicity 1)
Sb 0.500 0.500 0.000 (multiplicity 1)
Te 0.238 0.500 0.241 (multiplicity 2)
Te 0.241 0.000 0.753 (multiplicity 2)

E_tot (eV/atom): -3.530
E_form (uncorrected) (meV per atom): -480.5
Spin magnetization (μB per formula unit): 0.000

---

(6)
Computed, not measured: a relaxed ZnSb2TePd crystal at the PBE-GGA level of DFT.

Unit cell a=5.206 b=5.206 c=5.445 alpha=90.00 beta=90.00 gamma=90.00
Space group P4/mmm (No. 123)
Symmetry-distinct sites (fractional):
Zn 0.000 0.000 0.000 (multiplicity 1)
Sb 0.000 0.500 0.500 (multiplicity 2)
Te 0.500 0.500 0.000 (multiplicity 1)
Pd 0.500 0.500 0.500 (multiplicity 1)

Fermi-level density of states (states/eV/cell): 5.1
E_tot (eV/atom): -3.138
Energy above the lowest structure with this stoichiometry (eV per atom): 0.000
E_form (uncorrected) (meV per atom): 432.2
Spin magnetization (μB per formula unit): 0.000

---

(7)
Computed, not measured: a relaxed La2TeRh2 crystal at the PBE-GGA level of DFT.

Unit cell a=7.699 b=7.699 c=3.994 alpha=90.00 beta=90.00 gamma=90.00
Space group P4/mbm (No. 127)
Symmetry-distinct sites (fractional):
La 0.177 0.323 0.000 (multiplicity 4)
Te 0.000 0.000 0.500 (multiplicity 2)
Rh 0.130 0.630 0.500 (multiplicity 4)

Fermi-level density of states (states/eV/cell): 2.0
E_tot (eV/atom): -6.482
Energy above the lowest structure with this stoichiometry (eV per atom): 0.000
E_form (uncorrected) (meV per atom): -942.4
Spin magnetization (μB per formula unit): 0.000

---

(8)
Computed, not measured: a relaxed BiSICl2 crystal at the PBE-GGA level of DFT.

Unit cell a=5.273 b=5.273 c=5.789 alpha=90.00 beta=90.00 gamma=90.00
Space group P4/mmm (No. 123)
Symmetry-distinct sites (fractional):
Bi 0.000 0.000 0.000 (multiplicity 1)
S 0.000 0.000 0.500 (multiplicity 1)
I 0.500 0.500 0.500 (multiplicity 1)
Cl 0.000 0.500 0.000 (multiplicity 2)

Fermi-level density of states (states/eV/cell): 4.3
E_tot (eV/atom): -2.750
Energy above the lowest structure with this stoichiometry (eV per atom): 0.000
E_form (uncorrected) (meV per atom): -99.4
Spin magnetization (μB per formula unit): 0.000